# 1
Mg2GeTe: optimized geometry, PBE.

```
Mg2GeTe
1.0
0.0000 3.5632 3.5632
3.5632 0.0000 3.5632
3.5632 3.5632 0.0000
Mg Ge Te
2 1 1
Direct
0.2500 0.2500 0.2500
0.7500 0.7500 0.7500
0.0000 0.0000 0.0000
0.5000 0.5000 0.5000
```

Computed properties:
- Formation energy without anion corrections: -0.07 eV/atom
- Distance to the lowest polymorph of the same formula: 0.07 eV per formula unit
- Space-group type: Fm-3m



# 2
VMo3Pt: optimized geometry, PBE.

```
VMo3Pt
1.0
4.7651 0.0000 0.0000
0.0000 4.7651 0.0000
0.0000 0.0000 4.7651
V Mo Pt
1 3 1
Direct
0.0000 0.0000 0.0000
0.0000 0.5000 0.5000
0.5000 0.0000 0.5000
0.5000 0.5000 0.0000
0.5000 0.5000 0.5000
```

Computed properties:
- Distance to the lowest polymorph of the same formula: 3.69 eV per formula unit
- Space-group type: Pm-3m



# 3
Pm2I3Cl: optimized geometry, PBE.

```
Pm2I3Cl
1.0
10.2042 -2.0766 0.0000
10.2042 2.0766 0.0000
-7.9953 0.0000 11.6193
Pm I Cl
4 6 2
Direct
0.2390 0.2390 0.3555
0.2592 0.2592 0.8851
0.7408 0.7408 0.1149
0.7610 0.7610 0.6445
0.1222 0.1222 0.9254
0.1349 0.1349 0.4597
0.3879 0.3879 0.8235
0.6121 0.6121 0.1765
0.8651 0.8651 0.5403
0.8778 0.8778 0.0746
0.3339 0.3339 0.2721
0.6661 0.6661 0.7279
```

Computed properties:
- Formation energy without anion corrections: -1.45 eV/atom
- Space-group type: C2/m



# 4
GaHg2I: optimized geometry, PBE.

```
GaHg2I
1.0
3.8944 0.0000 0.0000
0.0000 3.8944 0.0000
0.0000 0.0000 7.7568
Ga Hg I
1 2 1
Direct
0.0000 0.0000 0.0000
0.5000 0.5000 0.2300
0.5000 0.5000 0.7700
0.0000 0.0000 0.5000
```

Computed properties:
- Formation energy without anion corrections: 0.01 eV/atom
- Distance to the lowest polymorph of the same formula: 0.66 eV per formula unit
- Space-group type: P4/mmm



# 5
Tb6Nd2Tl: optimized geometry, PBE.

```
Tb6Nd2Tl
1.0
9.9098 0.0000 0.0000
0.0000 10.4262 0.0000
0.0000 0.0000 5.5502
Tb Nd Tl
12 4 2
Direct
0.0184 0.1809 0.0000
0.1399 0.6045 0.5000
0.1795 0.9275 0.5000
0.3205 0.4275 0.0000
0.3601 0.1045 0.0000
0.4816 0.6809 0.5000
0.5184 0.3191 0.5000
0.6399 0.8955 0.0000
0.6795 0.5725 0.0000
0.8205 0.0725 0.5000
0.8601 0.3955 0.5000
0.9816 0.8191 0.0000
0.1919 0.2540 0.5000
0.3081 0.7540 0.0000
0.6919 0.2460 0.0000
0.8081 0.7460 0.5000
0.0000 0.5000 0.0000
0.5000 0.0000 0.5000
```

Computed properties:
- Distance to the lowest polymorph of the same formula: 0.64 eV per formula unit
- Space-group type: Pnnm



# 6
PuHfTcRh: optimized geometry, PBE.

```
PuHfTcRh
1.0
0.0000 3.3244 3.3244
3.3244 0.0000 3.3244
3.3244 3.3244 0.0000
Pu Hf Tc Rh
1 1 1 1
Direct
0.0000 0.0000 0.0000
0.5000 0.5000 0.5000
0.7500 0.7500 0.7500
0.2500 0.2500 0.2500
```

Computed properties:
- Final energy: -10.9051 eV per atom
- Space-group type: F-43m



# 7
KTlSi2: optimized geometry, PBE.

```
KTlSi2
1.0
5.0697 -1.9219 0.0000
5.0697 1.9219 0.0000
-2.5442 0.0000 6.4968
K Tl Si
1 1 2
Direct
0.0000 0.0000 0.0000
0.5000 0.5000 0.5000
0.2720 0.2720 0.6162
0.7280 0.7280 0.3838
```

Computed properties:
- Formation energy without anion corrections: 0.25 eV/atom
- Distance to the lowest polymorph of the same formula: 0.55 eV per formula unit
- Space-group type: C2/m



# 8
Sr5Lu: optimized geometry, PBE.

```
Sr5Lu
1.0
3.2871 -9.8830 0.0000
3.2871 9.8830 0.0000
0.0000 0.0000 4.3878
Sr Lu
5 1
Direct
0.0000 0.0000 0.0000
0.1715 0.8285 0.5000
0.3491 0.6509 0.0000
0.6509 0.3491 0.0000
0.8285 0.1715 0.5000
0.5000 0.5000 0.5000
```

Computed properties:
- Final energy: -2.0127 eV per atom
- Space-group type: Cmmm



What did the eighth record say?
Sr5Lu: optimized geometry, PBE.

```
Sr5Lu
1.0
3.2871 -9.8830 0.0000
3.2871 9.8830 0.0000
0.0000 0.0000 4.3878
Sr Lu
5 1
Direct
0.0000 0.0000 0.0000
0.1715 0.8285 0.5000
0.3491 0.6509 0.0000
0.6509 0.3491 0.0000
0.8285 0.1715 0.5000
0.5000 0.5000 0.5000
```

Computed properties:
- Final energy: -2.0127 eV per atom
- Space-group type: Cmmm